SrBeCrO4 | PBE+U | relaxed

Unit cell a=4.8884 b=5.2044 c=6.6583 alpha=90.00 beta=109.68 gamma=90.00
Closest atoms and distances in Å follow each position.
Positions (direct):
1 Sr 0.2154 0.2500 0.4345  2 O 2.35-2.44
2 Sr 0.7846 0.7500 0.5655  2 O 2.35-2.44
3 Be 0.2480 0.7500 0.1640  4 O 1.58-1.68
4 Be 0.7520 0.2500 0.8360  4 O 1.58-1.68
5 Cr 0.3024 0.2500 0.9604  5 O 1.82-2.03
6 Cr 0.6976 0.7500 0.0396  5 O 1.82-2.03
7 O 0.9999 0.2500 0.0608  1 Be 1.58
8 O 0.0001 0.7500 0.9392  1 Be 1.58
9 O 0.0723 0.7500 0.3283  1 Be 1.60
10 O 0.4904 0.5148 0.1847  1 Be 1.68
11 O 0.4904 0.9852 0.1847  1 Be 1.68
12 O 0.5096 0.0148 0.8153  1 Be 1.68
13 O 0.5096 0.4852 0.8153  1 Be 1.68
14 O 0.9277 0.2500 0.6717  1 Be 1.60

Summary:
DFT total energy: -6.852 eV/atom
M_tot: 4.00 μB/cell